No. 1
A relaxed Pm8HIr5 crystal, computed with PBE.

Cell: 7.609 7.609 7.609 Å, 110.33 107.76 110.33°
Sites, in units of the cell vectors:
Pm (0.141, 0.747, 0.002)
Pm (0.998, 0.139, 0.745)
Pm (0.724, 0.241, 0.350)
Pm (0.650, 0.374, 0.891)
Pm (0.517, 0.626, 0.276)
Pm (0.606, 0.861, 0.859)
Pm (0.255, 0.253, 0.394)
Pm (0.109, 0.759, 0.483)
H (0.250, 0.500, 0.750)
Ir (0.012, 0.368, 0.133)
Ir (0.867, 0.879, 0.235)
Ir (0.765, 0.632, 0.644)
Ir (0.500, 0.000, 0.500)
Ir (0.356, 0.121, 0.988)

Symmetry = I-4
Electronic total energy = -93.9 eV per cell
Fermi-level density of states = 3.84 states/eV/cell
Total magnetization = 0.000 μB per atom

***

No. 2
A relaxed Pm2HoEr4Tm crystal, computed with PBE.

Cell: 12.246 7.084 12.247 Å, 106.78 146.40 90.02°
Sites, in units of the cell vectors:
Pm (0.500, 0.000, 0.000)
Pm (0.500, 0.000, 0.500)
Pm (0.000, 0.000, 0.500)
Pm (0.500, 0.500, 0.000)
Ho (0.000, 0.500, 0.000)
Ho (0.000, 0.500, 0.500)
Er (0.249, 0.750, 0.001)
Er (0.750, 0.252, 0.502)
Er (0.250, 0.748, 0.498)
Er (0.751, 0.250, 0.999)
Er (0.751, 0.749, 0.998)
Er (0.750, 0.750, 0.502)
Er (0.250, 0.250, 0.498)
Er (0.249, 0.251, 0.002)
Tm (0.500, 0.500, 0.500)
Tm (0.000, 0.000, 0.000)

Symmetry = P-1
Fermi-level density of states = 20.39 states/eV/cell
Total magnetization = 0.000 μB per atom
Energy of formation = 1.82 kJ/mol of atoms

***

No. 3
A relaxed LaTaO2F crystal, computed with PBE.

Cell: 4.092 4.092 4.258 Å, 90.00 90.00 90.00°
Sites, in units of the cell vectors:
F (0.000, 0.000, 0.500)
La (0.500, 0.500, 0.500)
O (0.000, 0.500, 0.000)
O (0.500, 0.000, 0.000)
Ta (0.000, 0.000, 0.000)

Symmetry = P4/mmm
Electronic total energy = -40.0 eV per cell
Fermi-level density of states = 4.22 states/eV/cell
Total magnetization = 0.000 μB per atom

***

No. 4
A relaxed Pr5Tl2In2 crystal, computed with PBE.

Cell: 8.206 8.551 9.404 Å, 117.04 90.00 90.00°
Sites, in units of the cell vectors:
Pr (0.000, 0.000, 0.000)
Pr (0.500, 0.500, 0.000)
Pr (0.827, 0.826, 0.279)
Pr (0.173, 0.452, 0.279)
Pr (0.327, 0.952, 0.279)
Pr (0.673, 0.326, 0.279)
Pr (0.173, 0.174, 0.721)
Pr (0.827, 0.548, 0.721)
Pr (0.673, 0.048, 0.721)
Pr (0.327, 0.674, 0.721)
Tl (0.000, 0.212, 0.425)
Tl (0.500, 0.712, 0.425)
Tl (0.000, 0.788, 0.575)
Tl (0.500, 0.288, 0.575)
In (0.620, 0.877, 0.000)
In (0.380, 0.123, 0.000)
In (0.120, 0.623, 0.000)
In (0.880, 0.377, 0.000)

Symmetry = Cmce
ΔE to the lowest computed polymorph = 0.0 meV per atom
Fermi-level density of states = 18.11 states/eV/cell
Total magnetization = 0.000 μB per atom
Energy of formation = -35.20 kJ/mol of atoms

***

No. 5
A relaxed KRbAgH crystal, computed with PBE.

Cell: 5.682 5.682 5.682 Å, 60.00 60.00 60.00°
Sites, in units of the cell vectors:
H (0.500, 0.500, 0.500)
K (0.750, 0.750, 0.750)
Rb (0.250, 0.250, 0.250)
Ag (0.000, 0.000, 0.000)

Symmetry = F-43m
Electronic total energy = -7.8 eV per cell
Fermi-level density of states = 0.04 states/eV/cell
Total magnetization = 0.000 μB per atom

***

No. 6
A relaxed LiSi2As crystal, computed with PBE.

Cell: 9.411 9.411 9.411 Å, 17.21 17.21 17.21°
Sites, in units of the cell vectors:
As (0.250, 0.250, 0.250)
Li (0.750, 0.750, 0.750)
Si (0.005, 0.005, 0.005)
Si (0.495, 0.495, 0.495)

Symmetry = R-3m
Electronic total energy = -16.2 eV per cell
Fermi-level density of states = 1.06 states/eV/cell
Total magnetization = 0.000 μB per atom

***

> Number 3 is which compound?

LaTaO2F

***

> Which value of Fermi-level density of states does entry 5 give?

0.04 states/eV/cell

***

> What is the Fermi-level density of states in the third record?

4.22 states/eV/cell

***

> Which value of Fermi-level density of states does entry 2 give?

20.39 states/eV/cell